(1)
A geometry-optimized Si2NiSb structure. Source: the Alexandria database, functional GGA-PBEsol.

POSCAR file:
```
Si2NiSb
1.0
5.055 0.000 0.000
0.000 5.222 0.000
0.000 0.000 9.778
Si Ni Sb
8 4 4
direct
0.000 0.250 0.250
0.000 0.250 0.750
0.000 0.750 0.250
0.000 0.750 0.750
0.500 0.250 0.250
0.500 0.250 0.750
0.500 0.750 0.250
0.500 0.750 0.750
0.000 0.000 0.000
0.000 0.500 0.500
0.500 0.000 0.500
0.500 0.500 0.000
0.000 0.000 0.500
0.000 0.500 0.000
0.500 0.000 0.000
0.500 0.500 0.500
```

* volume: 258.1 Å³/cell
* energy: -0.1972 Ha/atom
* DOS(E_F): 2.1 states/eV/f.u.
* space-group type: Fmmm
* E_form (uncorrected): 0.1850 eV/atom

---

(2)
A geometry-optimized SiNiSb2 structure. Source: the Alexandria database, functional GGA-PBEsol.

POSCAR file:
```
SiNiSb2
1.0
4.505 0.000 0.000
0.000 4.512 0.000
0.000 0.000 7.331
Si Ni Sb
2 2 4
direct
0.000 0.000 0.000
0.500 0.500 0.000
0.000 0.000 0.500
0.500 0.500 0.500
0.000 0.500 0.279
0.000 0.500 0.721
0.500 0.000 0.279
0.500 0.000 0.721
```

* volume: 149.0 Å³/cell
* energy: -0.1832 Ha/atom
* DOS(E_F): 2.1 states/eV/f.u.
* space-group type: Cmmm
* E_form (uncorrected): 0.2701 eV/atom